Zr6Al7Cu16H9 after structural relaxation. Source: Alexandria, functional GGA-PBE.

For the magnetic moment, the calculation gives 0.00 μB/cell. Its density is 6.557 g cm⁻³. The density of states at the Fermi level is 14.70 states/eV/f.u. The value obtained for the final energy is -741.89 eV for the cell shown.

The structure belongs to space group Fm-3m (No. 225); the cell edges are 12.1301, 12.1301 and 12.1301 Å and the angles 90.00°, 90.00° and 90.00°. The distinct sites, in fractional coordinates, are Zr at (0.0000, 0.0000, 0.2005), Al at (0.0000, 0.0000, 0.5000), Al at (0.0000, 0.2500, 0.2500), Cu at (0.1193, 0.1193, 0.3807), Cu at (0.1755, 0.1755, 0.1755), H at (0.0000, 0.0000, 0.0000) and H at (0.0946, 0.0946, 0.0946).

NiSbW2S after structural relaxation. Source: Alexandria, functional GGA-PBE.

For the magnetic moment, the calculation gives 0.19 μB/cell. The value obtained for the uncorrected formation energy is 1.24 eV per atom. Its density is 10.774 g cm⁻³. The density of states at the Fermi level is 8.33 states/eV/f.u.

The structure belongs to space group P4/mmm (No. 123); the cell edges are 4.7956, 4.7956 and 3.8882 Å and the angles 90.00°, 90.00° and 90.00°. The distinct sites, in fractional coordinates, are Ni at (0.0000, 0.0000, 0.0000), Sb at (0.5000, 0.5000, 0.5000), W at (0.0000, 0.5000, 0.0000) and S at (0.0000, 0.0000, 0.5000).

Mn2TlCd after structural relaxation. Source: Alexandria, functional GGA-PBE.

For the magnetic moment, the calculation gives 23.48 μB/cell. Its density is 8.901 g cm⁻³. The energy relative to the elements comes out at 1.97 eV per formula unit. The density of states at the Fermi level is 4.11 states/eV/f.u.

The structure belongs to space group R-3m (No. 166, hexagonal axes); the cell edges are 3.1699, 3.1699 and 27.4432 Å and the angles 90.00°, 90.00° and 120.00°. The distinct sites, in fractional coordinates, are Mn at (0.0000, 0.0000, 0.2482), Tl at (0.0000, 0.0000, 0.0000) and Cd at (0.0000, 0.0000, 0.5000).

EuHoInGa after structural relaxation. Source: Alexandria, functional GGA-PBE.

For the magnetic moment, the calculation gives 28.47 μB/cell. Its density is 7.879 g cm⁻³. The energy relative to the elements comes out at -1.76 eV per formula unit. The density of states at the Fermi level is 5.91 states/eV/f.u.

The structure belongs to space group F-43m (No. 216); the cell edges are 7.5049, 7.5049 and 7.5049 Å and the angles 90.00°, 90.00° and 90.00°. The distinct sites, in fractional coordinates, are Eu at (0.0000, 0.0000, 0.0000), Ho at (0.0000, 0.0000, 0.5000), In at (0.2500, 0.2500, 0.7500) and Ga at (0.2500, 0.2500, 0.2500).

TeBr after structural relaxation. Source: Alexandria, functional GGA-PBE.

For the magnetic moment, the calculation gives 0.00 μB/cell. The value obtained for the uncorrected formation energy is -0.13 eV per atom. Its density is 4.873 g cm⁻³. The density of states at the Fermi level is 1.30 states/eV/f.u.

The structure belongs to space group Cm (No. 8); the cell edges are 13.4701, 4.0495 and 5.7064 Å and the angles 90.00°, 114.69° and 90.00°. The distinct sites, in fractional coordinates, are Te at (0.0000, 0.0000, 0.0000), Te at (0.1643, 0.5000, 0.1603), Br at (0.1818, 0.5000, 0.6782) and Br at (0.3441, 0.0000, 0.3371).

TcHgGe3 after structural relaxation. Source: Alexandria, functional GGA-PBE.

For the magnetic moment, the calculation gives 0.00 μB/cell. Its density is 7.452 g cm⁻³. The energy relative to the elements comes out at 0.93 eV per formula unit. The density of states at the Fermi level is 3.40 states/eV/f.u. Its relative energy among the computed polymorphs is 0 meV per atom.

The structure belongs to space group Pm-3m (No. 221); the cell edges are 4.8642, 4.8642 and 4.8642 Å and the angles 90.00°, 90.00° and 90.00°. The distinct sites, in fractional coordinates, are Tc at (0.0000, 0.0000, 0.0000), Hg at (0.5000, 0.5000, 0.5000) and Ge at (0.0000, 0.0000, 0.5000).

HfGe2Br after structural relaxation. Source: Alexandria, functional GGA-PBE.

For the magnetic moment, the calculation gives 0.00 μB/cell. The value obtained for the uncorrected formation energy is 0.21 eV per atom. Its density is 7.857 g cm⁻³. The density of states at the Fermi level is 3.44 states/eV/f.u. Its relative energy among the computed polymorphs is 0 meV per atom.

The structure belongs to space group I-42d (No. 122); the cell edges are 4.0297, 4.0297 and 21.0146 Å and the angles 90.00°, 90.00° and 90.00°. The distinct sites, in fractional coordinates, are Hf at (0.0000, 0.0000, 0.0000), Ge at (0.2021, 0.2500, 0.1250) and Br at (0.0000, 0.0000, 0.5000).

CaCo4Ge4 after structural relaxation. Source: Alexandria, functional GGA-PBE.

For the magnetic moment, the calculation gives 0.00 μB/cell. Its density is 6.675 g cm⁻³. The energy relative to the elements comes out at -2.17 eV per formula unit. The density of states at the Fermi level is 8.20 states/eV/f.u.

The structure belongs to space group I4/m (No. 87); the cell edges are 8.0240, 8.0240 and 4.3765 Å and the angles 90.00°, 90.00° and 90.00°. The distinct sites, in fractional coordinates, are Ca at (0.0000, 0.0000, 0.0000), Co at (0.1090, 0.3856, 0.0000) and Ge at (0.1556, 0.2906, 0.5000).

What did the first record say?
Zr6Al7Cu16H9 after structural relaxation. Source: Alexandria, functional GGA-PBE.

For the magnetic moment, the calculation gives 0.00 μB/cell. Its density is 6.557 g cm⁻³. The density of states at the Fermi level is 14.70 states/eV/f.u. The value obtained for the final energy is -741.89 eV for the cell shown.

The structure belongs to space group Fm-3m (No. 225); the cell edges are 12.1301, 12.1301 and 12.1301 Å and the angles 90.00°, 90.00° and 90.00°. The distinct sites, in fractional coordinates, are Zr at (0.0000, 0.0000, 0.2005), Al at (0.0000, 0.0000, 0.5000), Al at (0.0000, 0.2500, 0.2500), Cu at (0.1193, 0.1193, 0.3807), Cu at (0.1755, 0.1755, 0.1755), H at (0.0000, 0.0000, 0.0000) and H at (0.0946, 0.0946, 0.0946).